#P
Compound: TcIrAu2
Source: Alexandria via LeMat-Bulk
Functional: PBE
Structure: relaxed

It has space group I4/mmm (No. 139), with a = 4.002 Å, b = 4.002 Å, c = 8.027 Å, α = 90.00°, β = 90.00° and γ = 90.00°. Symmetry generates all atoms from Tc at (0.000, 0.000, 0.000), Ir at (0.000, 0.000, 0.500) and Au at (0.000, 0.500, 0.250).

The calculation puts the density at 17.67 g/cm³.

***

#Q
Compound: TcIrAu2
Source: Alexandria via LeMat-Bulk
Functional: PBE
Structure: relaxed

It has space group P4/mmm (No. 123), with a = 3.941 Å, b = 3.941 Å, c = 4.203 Å, α = 90.00°, β = 90.00° and γ = 90.00°. Symmetry generates all atoms from Tc at (0.000, 0.000, 0.000), Ir at (0.500, 0.500, 0.000) and Au at (0.000, 0.500, 0.500).

The calculation puts the density at 17.40 g/cm³.

***

#R
Compound: TcIrAu2
Source: Alexandria via LeMat-Bulk
Functional: PBE
Structure: relaxed

It has space group I-42d (No. 122), with a = 7.413 Å, b = 7.413 Å, c = 5.251 Å, α = 90.00°, β = 90.00° and γ = 90.00°. Symmetry generates all atoms from Tc at (0.000, 0.000, 0.000), Ir at (0.000, 0.000, 0.500) and Au at (0.249, 0.250, 0.625).

The calculation puts the density at 15.75 g/cm³.

***

#S
Compound: TcIrAu2
Source: Alexandria via LeMat-Bulk
Functional: PBE
Structure: relaxed

It has space group R-3m (No. 166, hexagonal axes), with a = 2.8274 Å, b = 2.8274 Å, c = 27.9585 Å, α = 90.00°, β = 90.00° and γ = 120.00°. Symmetry generates all atoms from Tc at (0.0000, 0.0000, 0.0000), Ir at (0.0000, 0.0000, 0.5000) and Au at (0.0000, 0.0000, 0.2512).

The calculation puts the density at 17.61 g/cm³.

***

Energies in kJ/mol of atoms, measured from the most stable structure: #P 5.7; #Q 10.2; #R 48.8; #S 0.0.